Record 1
Here is an optimized crystal structure of LiTcSe2 from the Alexandria database. Energies are from PBE-GGA.

```
LiTcSe2
1.0
1.835 1.059 6.457
-1.835 1.059 6.457
0.000 -2.119 6.457
Li Tc Se
1 1 2
Direct
0.000 0.000 0.000
0.500 0.500 0.500
0.243 0.243 0.243
0.757 0.757 0.757
```

N(E_F) (states/eV per cell): 0.667
SG: R-3m, No. 166
Volume (Å³ per atom): 18.83
Formation energy without anion corrections (meV/atom): -478
Distance to the lowest polymorph of the same formula (eV/f.u.): 0.00
Energy (Ha/atom): -0.19440

---

Record 2
Here is an optimized crystal structure of LiTcSe2 from the Alexandria database. Energies are from PBE-GGA.

```
LiTcSe2
1.0
5.061 0.000 0.000
0.000 1.603 4.357
0.000 -1.603 4.357
Li Tc Se
1 1 2
Direct
0.000 0.000 0.000
0.500 0.650 0.650
0.000 0.719 0.719
0.500 0.367 0.367
```

N(E_F) (states/eV per cell): 2.247
SG: Amm2, No. 38
Volume (Å³ per atom): 17.67
Formation energy without anion corrections (meV/atom): -275
Distance to the lowest polymorph of the same formula (eV/f.u.): 0.81
Energy (Ha/atom): -0.18696

---

Record 3
Here is an optimized crystal structure of LiTcSe2 from the Alexandria database. Energies are from PBE-GGA.

```
LiTcSe2
1.0
4.053 -1.623 0.000
4.053 1.623 0.000
-0.553 0.000 5.931
Li Tc Se
1 1 2
Direct
0.000 0.000 0.000
0.844 0.844 0.498
0.297 0.297 0.181
0.566 0.566 0.628
```

N(E_F) (states/eV per cell): 2.359
SG: Cm, No. 8
Volume (Å³ per atom): 19.51
Formation energy without anion corrections (meV/atom): -405
Distance to the lowest polymorph of the same formula (eV/f.u.): 0.29
Energy (Ha/atom): -0.19174

---

Record 4
Here is an optimized crystal structure of LiTiTcSe2 from the Alexandria database. Energies are from PBE-GGA.

```
LiTiTcSe2
1.0
5.065 0.000 0.000
0.000 5.065 0.000
0.000 0.000 4.503
Li Ti Tc Se
1 1 1 2
Direct
0.000 0.000 0.000
0.500 0.500 0.000
0.500 0.500 0.500
0.000 0.500 0.500
0.500 0.000 0.500
```

N(E_F) (states/eV per cell): 6.400
SG: P4/mmm, No. 123
Volume (Å³ per atom): 23.10
Formation energy without anion corrections (meV/atom): 192
Energy (Ha/atom): -0.19244

---

Record 5
Here is an optimized crystal structure of LiTeSe2 from the Alexandria database. Energies are from PBE-GGA.

```
LiTeSe2
1.0
2.126 1.227 6.221
-2.126 1.227 6.221
0.000 -2.455 6.221
Li Te Se
1 1 2
Direct
0.000 0.000 0.000
0.500 0.500 0.500
0.250 0.250 0.250
0.750 0.750 0.750
```

N(E_F) (states/eV per cell): 2.957
SG: R-3m, No. 166
Volume (Å³ per atom): 24.35
Formation energy without anion corrections (meV/atom): -303
Energy (Ha/atom): -0.12161

---

Record 6
Here is an optimized crystal structure of Li2TeSe from the Alexandria database. Energies are from PBE-GGA.

```
Li2TeSe
1.0
2.960 -3.807 0.000
2.960 3.807 0.000
-0.535 0.000 3.700
Li Te Se
2 1 1
Direct
0.000 0.500 0.000
0.500 0.000 0.000
0.000 0.000 0.500
0.500 0.500 0.500
```

N(E_F) (states/eV per cell): 1.176
SG: C2/m, No. 12
Volume (Å³ per atom): 20.84
Formation energy without anion corrections (meV/atom): -684
Distance to the lowest polymorph of the same formula (eV/f.u.): 0.40
Energy (Ha/atom): -0.12117

---

Record 7
Here is an optimized crystal structure of LiTeSe2 from the Alexandria database. Energies are from PBE-GGA.

```
LiTeSe2
1.0
2.913 0.000 0.000
0.000 2.913 0.000
0.000 0.000 12.248
Li Te Se
1 1 2
Direct
0.000 0.000 0.000
0.500 0.500 0.796
0.000 0.000 0.483
0.500 0.500 0.143
```

N(E_F) (states/eV per cell): 2.123
SG: P4mm, No. 99
Volume (Å³ per atom): 25.99
Formation energy without anion corrections (meV/atom): -156
Energy (Ha/atom): -0.11619

---

Record 8
Here is an optimized crystal structure of LiTeSe3 from the Alexandria database. Energies are from PBE-GGA.

```
LiTeSe3
1.0
5.394 0.000 0.000
0.000 5.394 0.000
0.000 0.000 5.394
Li Te Se
1 1 3
Direct
0.000 0.000 0.000
0.500 0.500 0.500
0.000 0.500 0.500
0.500 0.000 0.500
0.500 0.500 0.000
```

N(E_F) (states/eV per cell): 3.782
SG: Pm-3m, No. 221
Volume (Å³ per atom): 31.39
Formation energy without anion corrections (meV/atom): 102
Distance to the lowest polymorph of the same formula (eV/f.u.): 1.92
Energy (Ha/atom): -0.11024

---

Record 9
Here is an optimized crystal structure of Li3TeSe4 from the Alexandria database. Energies are from PBE-GGA.

```
Li3TeSe4
1.0
4.139 -5.545 0.000
4.139 5.545 0.000
0.000 0.000 3.714
Li Te Se
3 1 4
Direct
0.000 0.000 0.000
0.000 0.500 0.500
0.500 0.000 0.500
0.500 0.500 0.000
0.249 0.751 0.000
0.250 0.250 0.500
0.750 0.750 0.500
0.751 0.249 0.000
```

N(E_F) (states/eV per cell): 4.595
SG: Cmmm, No. 65
Volume (Å³ per atom): 21.31
Formation energy without anion corrections (meV/atom): -604
Energy (Ha/atom): -0.12702

---

Record 10
Here is an optimized crystal structure of LiTeSe2 from the Alexandria database. Energies are from PBE-GGA.

```
LiTeSe2
1.0
0.000 3.543 3.543
3.543 0.000 3.543
3.543 3.543 0.000
Li Te Se
1 1 2
Direct
0.000 0.000 0.000
0.750 0.750 0.750
0.250 0.250 0.250
0.500 0.500 0.500
```

N(E_F) (states/eV per cell): 3.549
SG: F-43m, No. 216
Volume (Å³ per atom): 22.24
Formation energy without anion corrections (meV/atom): 127
Energy (Ha/atom): -0.10581

---

Record 11
Here is an optimized crystal structure of Li3TeSe from the Alexandria database. Energies are from PBE-GGA.

```
Li3TeSe
1.0
5.144 0.000 0.000
0.000 5.144 0.000
0.000 0.000 5.144
Li Te Se
3 1 1
Direct
0.000 0.000 0.500
0.000 0.500 0.000
0.500 0.000 0.000
0.000 0.000 0.000
0.500 0.500 0.500
```

N(E_F) (states/eV per cell): 5.720
SG: Pm-3m, No. 221
Volume (Å³ per atom): 27.23
Formation energy without anion corrections (meV/atom): -536
Distance to the lowest polymorph of the same formula (eV/f.u.): 1.37
Energy (Ha/atom): -0.11059

---

Record 12
Here is an optimized crystal structure of LiTeSe2 from the Alexandria database. Energies are from PBE-GGA.

```
LiTeSe2
1.0
3.334 0.000 0.000
0.000 3.344 0.000
0.000 0.000 9.200
Li Te Se
1 1 2
Direct
0.000 0.000 0.000
0.000 0.000 0.500
0.500 0.500 0.127
0.500 0.500 0.873
```

N(E_F) (states/eV per cell): 1.994
SG: Pmmm, No. 47
Volume (Å³ per atom): 25.64
Formation energy without anion corrections (meV/atom): -255
Energy (Ha/atom): -0.11985

---

> Look up the formation energy without anion corrections of the seventh one.

-156 meV/atom

---

> The highest formation energy without anion corrections belongs to which entry?

LiTiTcSe2